A relaxed structure of MnCrOs. Source: Alexandria, functional PBE.

Computed properties:
The calculation puts the calculated total energy at -9.817 eV/atom. As for the magnetization: 0.58 μB per cell.

a = 2.640 Å, b = 2.640 Å, c = 6.274 Å
α = 90.00°, β = 90.00°, γ = 120.00°
Last column: magnetic moment on the atom in μB.
Positions (direct):
Os: 0.333 0.667 0.666  0.02
Cr: 0.000 0.000 0.010  -0.31
Mn: 0.667 0.333 0.324  0.86

=====

A relaxed structure of MnCr2Os. Source: Alexandria, functional PBE.

Computed properties:
The calculation puts the calculated total energy at -9.821 eV/atom. As for the magnetization: 2.64 μB per cell.

a = 4.164 Å, b = 4.164 Å, c = 4.164 Å
α = 60.00°, β = 60.00°, γ = 60.00°
Last column: magnetic moment on the atom in μB.
Positions (direct):
Os: 0.750 0.750 0.750  0.04
Cr: 0.000 0.000 0.000  1.00
Mn: 0.500 0.500 0.500  2.76
Cr: 0.250 0.250 0.250  -1.19

=====

A relaxed structure of MnCrOs. Source: Alexandria, functional PBE.

Computed properties:
The calculation puts the calculated total energy at -9.345 eV/atom. As for the magnetization: 0.77 μB per cell.

a = 3.847 Å, b = 4.445 Å, c = 5.091 Å
α = 90.00°, β = 90.00°, γ = 90.00°
Last column: magnetic moment on the atom in μB.
Positions (direct):
Mn: 0.000 0.000 0.500  1.32
Cr: 0.500 0.848 0.250  -1.01
Os: 0.000 0.488 0.250  0.09
Cr: 0.500 0.152 0.750  -1.01
Mn: 0.000 0.000 0.000  1.32
Os: 0.000 0.512 0.750  0.09

=====

A relaxed structure of MnCr4Os. Source: Alexandria, functional PBE.

Computed properties:
The calculation puts the calculated total energy at -9.718 eV/atom. As for the magnetization: 2.02 μB per cell.

a = 4.703 Å, b = 4.703 Å, c = 4.703 Å
α = 60.00°, β = 60.00°, γ = 60.00°
Last column: magnetic moment on the atom in μB.
Positions (direct):
Cr: 0.129 0.624 0.624  -0.13
Cr: 0.624 0.129 0.624  -0.13
Cr: 0.624 0.624 0.129  -0.13
Cr: 0.624 0.624 0.624  -0.13
Mn: 0.250 0.250 0.250  2.48
Os: 0.000 0.000 0.000  0.04

=====

A relaxed structure of MnCrOs. Source: Alexandria, functional PBE.

Computed properties:
The calculation puts the calculated total energy at -9.890 eV/atom. As for the magnetization: 0.62 μB per cell.

a = 4.503 Å, b = 4.503 Å, c = 4.503 Å
α = 146.07°, β = 132.09°, γ = 60.00°
Last column: magnetic moment on the atom in μB.
Positions (direct):
Os: 0.332 0.332 0.000  -0.04
Cr: 0.002 0.002 0.000  -0.17
Mn: 0.666 0.666 0.000  0.82

=====

A relaxed structure of MnCr2Os. Source: Alexandria, functional PBE.

Computed properties:
The calculation puts the calculated total energy at -9.749 eV/atom. As for the magnetization: 0.43 μB per cell.

a = 2.629 Å, b = 3.618 Å, c = 5.194 Å
α = 90.00°, β = 90.00°, γ = 90.00°
Last column: magnetic moment on the atom in μB.
Positions (direct):
Mn: 0.000 0.000 0.489  0.90
Cr: 0.500 0.500 0.255  -0.41
Os: 0.500 0.500 0.751  -0.05
Cr: 0.000 0.000 0.005  0.00

=====

A relaxed structure of Mn2CrOs. Source: Alexandria, functional PBE.

Computed properties:
The calculation puts the calculated total energy at -9.709 eV/atom. As for the magnetization: 1.42 μB per cell.

a = 4.471 Å, b = 4.471 Å, c = 4.471 Å
α = 131.82°, β = 131.82°, γ = 70.52°
Last column: magnetic moment on the atom in μB.
Positions (direct):
Cr: 0.250 0.750 0.500  -0.66
Mn: 0.750 0.250 0.500  0.71
Mn: 0.000 0.000 0.000  1.31
Os: 0.500 0.500 0.000  0.03

=====

A relaxed structure of Mn3CrOs. Source: Alexandria, functional PBE.

Computed properties:
The calculation puts the calculated total energy at -7.684 eV/atom. As for the magnetization: 0.15 μB per cell.

a = 4.380 Å, b = 4.380 Å, c = 4.380 Å
α = 90.00°, β = 90.00°, γ = 90.00°
Last column: magnetic moment on the atom in μB.
Positions (direct):
Mn: 0.000 0.000 0.500  0.04
Mn: 0.500 0.000 0.000  0.04
Os: 0.000 0.000 0.000  -0.04
Cr: 0.500 0.500 0.500  0.07
Mn: 0.000 0.500 0.000  0.04

=====

Ordered formation energy from the elements results: 0.191 0.091 0.662 0.098 0.117 0.163 0.089 1.989; unit eV/atom.